1.
Below is YMgFe2 after structural relaxation, with properties calculated at the PBE level.

```
YMgFe2
1.0
8.379 0.000 0.000
0.000 4.037 0.000
-2.546 0.000 4.590
Y Mg Fe
2 2 4
Cartesian
0.000 0.000 0.000
4.189 2.018 0.000
-1.273 2.018 2.295
2.916 0.000 2.295
0.347 0.000 2.810
1.296 2.018 1.779
4.537 2.018 2.810
5.485 0.000 1.779
```

V = 19.40 Å³/atom
SG = No. 12
DFT formation energy = 0.9 eV/f.u.

=====

2.
Below is La2Zr2In after structural relaxation, with properties calculated at the PBE level.

```
La2Zr2In
1.0
7.788 0.000 0.000
0.000 7.788 0.000
0.000 0.000 4.761
La Zr In
4 4 2
Cartesian
1.316 2.578 0.000
2.578 6.472 0.000
5.210 1.316 0.000
6.472 5.210 0.000
1.075 4.969 2.380
2.819 1.075 2.380
4.969 6.713 2.380
6.713 2.819 2.380
0.000 0.000 2.380
3.894 3.894 2.380
```

V = 28.88 Å³/atom
SG = No. 127
DFT formation energy = -0.1 eV/f.u.

=====

3.
Below is La5Pm2Ho5 after structural relaxation, with properties calculated at the PBE level.

```
La5Pm2Ho5
1.0
7.758 -2.566 0.000
7.758 2.566 0.000
-5.192 0.000 10.265
La Pm Ho
5 2 5
Cartesian
0.000 0.000 0.000
-2.631 0.000 7.705
2.563 0.000 2.560
7.761 0.000 7.704
12.955 0.000 2.560
-0.018 0.000 5.125
10.342 0.000 5.140
-0.025 0.000 10.262
2.571 0.000 7.681
5.162 0.000 5.132
7.753 0.000 2.583
10.349 0.000 0.003
```

V = 34.06 Å³/atom
SG = No. 12
DFT formation energy = 0.3 eV/f.u.

=====

Question: Number 2 is which compound?
Answer: La2Zr2In

=====

Question: Which formula does entry 1 have?
Answer: YMgFe2